# YAgTe2

YAgTe2 at its PBEsol-relaxed geometry (SCAN, the Alexandria database).

Computed properties:
Formation energy from raw total energies   -0.917 eV/atom
Density of states at the Fermi level   0.6 states/eV/f.u.

a = 4.1178 Å, b = 4.1178 Å, c = 6.2314 Å
α = 90.00°, β = 90.00°, γ = 90.00°
Atoms (fractional coordinates):
Y: 0.0009 0.0000 0.4589
Te: 0.9997 0.0000 0.9223
Te: 0.5008 0.5000 0.3342
Ag: 0.4986 0.5000 0.7845

***

# Ni2TeAu2

Ni2TeAu2 at its PBEsol-relaxed geometry (SCAN, the Alexandria database).

Computed properties:
Formation energy from raw total energies   0.335 eV/atom
Density of states at the Fermi level   2.8 states/eV/f.u.

a = 3.6350 Å, b = 3.6350 Å, c = 6.8918 Å
α = 105.29°, β = 105.29°, γ = 90.00°
Atoms (fractional coordinates):
Ni: 0.2500 0.7500 0.5000
Ni: 0.7500 0.2500 0.5000
Te: 0.0000 0.0000 0.0000
Au: 0.3881 0.3881 0.7762
Au: 0.6119 0.6119 0.2238

***

# ZrScSe2

ZrScSe2 at its PBEsol-relaxed geometry (SCAN, the Alexandria database).

Computed properties:
Formation energy from raw total energies   -1.544 eV/atom
Energy above the most stable polymorph in this dataset   0.91 kcal/mol of atoms
Density of states at the Fermi level   1.1 states/eV/f.u.

a = 3.6446 Å, b = 3.6446 Å, c = 5.9497 Å
α = 90.00°, β = 90.00°, γ = 90.00°
Atoms (fractional coordinates):
Sc: 0.5000 0.5000 0.7954
Zr: 0.0000 0.0000 0.4588
Se: 0.0000 0.0000 0.9261
Se: 0.5000 0.5000 0.3198

***

# CsLi2S

CsLi2S at its PBEsol-relaxed geometry (SCAN, the Alexandria database).

Computed properties:
Formation energy from raw total energies   -0.788 eV/atom
Density of states at the Fermi level   1.9 states/eV/f.u.

a = 7.5312 Å, b = 7.5312 Å, c = 7.5312 Å
α = 60.00°, β = 60.00°, γ = 60.00°
Atoms (fractional coordinates):
Cs: 0.2500 0.2500 0.2500
Cs: 0.0000 0.0000 0.0000
S: 0.7500 0.7500 0.7500
S: 0.5000 0.5000 0.5000
Li: 0.6250 0.6250 0.1250
Li: 0.6250 0.6250 0.6250
Li: 0.1250 0.6250 0.6250
Li: 0.6250 0.1250 0.6250